# 1
{
  "formula": "Ac2Sb3Au2",
  "functional": "PBE",
  "state": "optimized geometry",
  "formation_energy_uncorrected_mev_per_atom": -707,
  "magmom_total_mub_per_cell": 0.0,
  "lattice": [[5.730, -2.349, 0.000], [5.730, 2.349, 0.000], [-2.210, 0.000, 7.465]],
  "species": ["Ac", "Ac", "Sb", "Sb", "Sb", "Au", "Au"],
  "frac_coords": [[0.127, 0.127, 0.287], [0.873, 0.873, 0.713], [0.389, 0.389, 0.062], [0.500, 0.500, 0.500], [0.611, 0.611, 0.938], [0.179, 0.179, 0.724], [0.821, 0.821, 0.276]]
}



# 2
{
  "formula": "AcSb2Au3",
  "functional": "PBE",
  "state": "optimized geometry",
  "formation_energy_uncorrected_mev_per_atom": -498,
  "magmom_total_mub_per_cell": 0.0,
  "lattice": [[8.703, -2.565, 0.000], [8.703, 2.565, 0.000], [-3.083, 0.000, 6.928]],
  "species": ["Ac", "Ac", "Sb", "Sb", "Sb", "Sb", "Au", "Au", "Au", "Au", "Au", "Au"],
  "frac_coords": [[0.151, 0.151, 0.109], [0.849, 0.849, 0.891], [0.168, 0.168, 0.661], [0.484, 0.484, 0.794], [0.516, 0.516, 0.206], [0.832, 0.832, 0.339], [0.015, 0.015, 0.326], [0.308, 0.308, 0.577], [0.344, 0.344, 0.186], [0.656, 0.656, 0.814], [0.692, 0.692, 0.423], [0.985, 0.985, 0.674]]
}